[1]
Here is a relaxed K3Na2US6 crystal from the Alexandria database. Energies are from PBE. Values from VASP.

Cell and atoms, written as Quantum ESPRESSO input:
```
&SYSTEM
  ibrav = 0, nat = 12, ntyp = 4
/
ATOMIC_SPECIES
K 39.10 K.upf
S 32.06 S.upf
U 238.03 U.upf
Na 22.99 Na.upf
ATOMIC_POSITIONS crystal
K 0.8233 0.1767 0.5000
S 0.2217 0.2217 0.7953
U 0.0000 0.0000 0.0000
Na 0.3334 0.6666 0.0000
S 0.7783 0.7783 0.2047
K 0.5000 0.5000 0.5000
Na 0.6666 0.3334 0.0000
K 0.1767 0.8233 0.5000
S 0.9322 0.6384 0.7968
S 0.0678 0.3616 0.2032
S 0.3616 0.0678 0.2032
S 0.6384 0.9322 0.7968
CELL_PARAMETERS angstrom
7.2196 0.0067 -0.0015
-3.6023 6.2567 -0.0015
-1.2081 -2.0918 7.2186
```

Computed properties:
Energy relative to the elements, uncorrected   -1.16 eV per atom
Magnetization   1.131 μB per cell

---

[2]
Here is a relaxed CdBiSb crystal from the Alexandria database. Energies are from PBE. Values from VASP.

Cell and atoms, written as Quantum ESPRESSO input:
```
&SYSTEM
  ibrav = 0, nat = 3, ntyp = 3
/
ATOMIC_SPECIES
Cd 112.41 Cd.upf
Sb 121.76 Sb.upf
Bi 208.98 Bi.upf
ATOMIC_POSITIONS crystal
Cd 0.7889 0.7187 0.8941
Sb 0.5577 0.3873 0.5625
Bi 0.4048 0.0544 0.2092
CELL_PARAMETERS angstrom
3.2173 -0.4084 -0.3408
0.5768 4.2437 0.0222
-0.7442 2.1769 6.5596
```

Computed properties:
Energy relative to the elements, uncorrected   0.06 eV per atom
Offset from the most stable computed form   0.012 eV/atom
Magnetization   0.000 μB per cell

---

[3]
Here is a relaxed Th4CdPd15 crystal from the Alexandria database. Energies are from PBE. Values from VASP.

Cell and atoms, written as Quantum ESPRESSO input:
```
&SYSTEM
  ibrav = 0, nat = 20, ntyp = 3
/
ATOMIC_SPECIES
Pd 106.42 Pd.upf
Th 232.04 Th.upf
Cd 112.41 Cd.upf
ATOMIC_POSITIONS crystal
Pd 0.5000 0.5000 0.8022
Pd 0.5000 0.5000 0.3998
Pd 0.0000 0.5000 0.7022
Pd 0.0000 0.5000 0.2978
Pd 0.5000 0.5000 0.6002
Pd 0.5000 0.0000 0.0958
Th 0.0000 0.0000 0.8104
Pd 0.0000 0.5000 0.9042
Pd 0.0000 0.5000 0.0958
Th 0.0000 0.0000 0.1896
Pd 0.5000 0.5000 0.1978
Pd 0.0000 0.5000 0.5000
Th 0.0000 0.0000 0.3969
Pd 0.5000 0.0000 0.2978
Pd 0.5000 0.0000 0.5000
Th 0.0000 0.0000 0.6031
Pd 0.5000 0.0000 0.7022
Pd 0.5000 0.5000 0.0000
Pd 0.5000 0.0000 0.9042
Cd 0.0000 0.0000 0.0000
CELL_PARAMETERS angstrom
4.2034 0.0000 0.0000
0.0000 4.2034 0.0000
0.0000 0.0000 20.7010
```

Computed properties:
Magnetization   0.000 μB per cell
Formation energy   -835 meV per atom

---

[4]
Here is a relaxed AgSnHgAs crystal from the Alexandria database. Energies are from PBE. Values from VASP.

Cell and atoms, written as Quantum ESPRESSO input:
```
&SYSTEM
  ibrav = 0, nat = 4, ntyp = 4
/
ATOMIC_SPECIES
Ag 107.87 Ag.upf
Hg 200.59 Hg.upf
Sn 118.71 Sn.upf
As 74.92 As.upf
ATOMIC_POSITIONS crystal
Ag 0.7500 0.7500 0.7500
Hg 0.5000 0.5000 0.5000
Sn 0.2500 0.2500 0.2500
As 0.0000 0.0000 0.0000
CELL_PARAMETERS angstrom
-1.8648 -3.4386 3.2051
2.5218 -1.1415 4.2322
-1.8121 1.4515 4.4926
```

Computed properties:
Magnetization   0.000 μB per cell
Formation energy   167 meV per atom

---

[5]
Here is a relaxed LiTm2Al4Pt3 crystal from the Alexandria database. Energies are from PBE. Values from VASP.

Cell and atoms, written as Quantum ESPRESSO input:
```
&SYSTEM
  ibrav = 0, nat = 10, ntyp = 4
/
ATOMIC_SPECIES
Pt 195.08 Pt.upf
Tm 168.93 Tm.upf
Al 26.98 Al.upf
Li 6.94 Li.upf
ATOMIC_POSITIONS crystal
Pt 0.5000 0.0000 0.8600
Tm 0.5000 0.0000 0.2432
Pt 0.0000 0.0000 0.5000
Al 0.0000 0.0000 0.0000
Pt 0.0000 0.5000 0.1400
Al 0.0000 0.5000 0.3671
Tm 0.0000 0.5000 0.7568
Li 0.5000 0.5000 0.5000
Al 0.5000 0.5000 0.0000
Al 0.5000 0.0000 0.6329
CELL_PARAMETERS angstrom
4.0832 0.0000 0.0000
0.0000 4.0832 0.0000
0.0000 0.0000 10.9500
```

Computed properties:
Magnetization   0.000 μB per cell
Formation energy   -942 meV per atom

---

[6]
Here is a relaxed VSb crystal from the Alexandria database. Energies are from PBE. Values from VASP.

Cell and atoms, written as Quantum ESPRESSO input:
```
&SYSTEM
  ibrav = 0, nat = 16, ntyp = 2
/
ATOMIC_SPECIES
Sb 121.76 Sb.upf
V 50.94 V.upf
ATOMIC_POSITIONS crystal
Sb 0.3252 0.2597 0.3522
V 0.5000 0.3564 0.7500
Sb 0.6748 0.2597 0.1478
Sb 0.8252 0.2403 0.6478
V 0.5623 0.0000 0.5000
Sb 0.3252 0.7403 0.6478
V 0.9377 0.5000 0.0000
Sb 0.6748 0.7403 0.8522
Sb 0.1748 0.7597 0.1478
V 0.5000 0.6436 0.2500
V 0.0000 0.1436 0.2500
V 0.0000 0.8564 0.7500
V 0.0623 0.5000 0.5000
Sb 0.8252 0.7597 0.3522
V 0.4377 0.0000 0.0000
Sb 0.1748 0.2403 0.8522
CELL_PARAMETERS angstrom
-5.3398 1.5315 -6.2832
-3.8037 -4.5168 2.1316
-2.8220 3.9644 3.3647
```

Computed properties:
Energy relative to the elements, uncorrected   0.16 eV per atom
Magnetization   0.585 μB per cell

---

[7]
Here is a relaxed NiSbW crystal from the Alexandria database. Energies are from PBE. Values from VASP.

Cell and atoms, written as Quantum ESPRESSO input:
```
&SYSTEM
  ibrav = 0, nat = 3, ntyp = 3
/
ATOMIC_SPECIES
Sb 121.76 Sb.upf
Ni 58.69 Ni.upf
W 183.84 W.upf
ATOMIC_POSITIONS crystal
Sb 0.0000 0.0000 0.0000
Ni 0.2500 0.2500 0.2500
W 0.5000 0.5000 0.5000
CELL_PARAMETERS angstrom
4.2211 0.0000 0.0000
2.1105 3.6556 0.0000
2.1105 1.2185 3.4465
```

Computed properties:
Energy relative to the elements, uncorrected   0.59 eV per atom
Offset from the most stable computed form   0.135 eV/atom
Magnetization   1.901 μB per cell

---

[8]
Here is a relaxed LiP2Ru crystal from the Alexandria database. Energies are from PBE. Values from VASP.

Cell and atoms, written as Quantum ESPRESSO input:
```
&SYSTEM
  ibrav = 0, nat = 4, ntyp = 3
/
ATOMIC_SPECIES
Ru 101.07 Ru.upf
P 30.97 P.upf
Li 6.94 Li.upf
ATOMIC_POSITIONS crystal
Ru 0.0000 0.0000 0.4591
P 0.0000 0.0000 0.9545
P 0.5000 0.5000 0.2974
Li 0.5000 0.5000 0.7890
CELL_PARAMETERS angstrom
-2.8442 -0.4805 -0.5346
0.7080 -3.5259 -0.5975
-0.7361 -0.9574 4.7770
```

Computed properties:
Offset from the most stable computed form   0.189 eV/atom
Magnetization   0.000 μB per cell
Formation energy   -167 meV per atom

---

[9]
Here is a relaxed Pm2Sm4Ho2Mg crystal from the Alexandria database. Energies are from PBE. Values from VASP.

Cell and atoms, written as Quantum ESPRESSO input:
```
&SYSTEM
  ibrav = 0, nat = 9, ntyp = 4
/
ATOMIC_SPECIES
Sm 150.36 Sm.upf
Pm 145.00 Pm.upf
Ho 164.93 Ho.upf
Mg 24.30 Mg.upf
ATOMIC_POSITIONS crystal
Sm 0.7016 0.6051 0.4571
Sm 0.2130 0.2166 0.8436
Pm 0.6503 0.1774 0.3556
Pm 0.3497 0.8226 0.6444
Sm 0.2984 0.3949 0.5429
Ho 0.1783 0.6495 0.9889
Mg 0.0000 0.0000 0.0000
Sm 0.7870 0.7834 0.1564
Ho 0.8217 0.3505 0.0111
CELL_PARAMETERS angstrom
-0.9675 6.5179 0.8851
-4.2370 -3.0219 7.4365
6.6354 -2.1660 -1.0316
```

Computed properties:
Magnetization   0.000 μB per cell
Formation energy   139 meV per atom

---

[10]
Here is a relaxed KNa2Tl crystal from the Alexandria database. Energies are from PBE. Values from VASP.

Cell and atoms, written as Quantum ESPRESSO input:
```
&SYSTEM
  ibrav = 0, nat = 12, ntyp = 3
/
ATOMIC_SPECIES
Na 22.99 Na.upf
Tl 204.38 Tl.upf
K 39.10 K.upf
ATOMIC_POSITIONS crystal
Na 0.4229 0.4229 0.2407
Tl 0.5000 0.5000 0.5000
Na 0.0866 0.5771 0.7593
Na 0.4229 0.9134 0.2407
Na 0.5771 0.0866 0.7593
K 0.1451 0.1451 0.5649
K 0.8550 0.8550 0.4351
Tl 0.6675 0.6675 0.9976
Tl 0.3325 0.3325 0.0024
K 0.0000 0.0000 0.0000
Na 0.9134 0.4229 0.2407
Na 0.5771 0.5771 0.7593
CELL_PARAMETERS angstrom
6.7207 0.0000 2.1366
3.0208 6.0036 2.1366
0.0499 0.0308 11.4817
```

Computed properties:
Offset from the most stable computed form   0.000 eV/atom
Magnetization   0.254 μB per cell
Formation energy   -54 meV per atom

---

[11]
Here is a relaxed SrZr3Pt crystal from the Alexandria database. Energies are from PBE. Values from VASP.

Cell and atoms, written as Quantum ESPRESSO input:
```
&SYSTEM
  ibrav = 0, nat = 5, ntyp = 3
/
ATOMIC_SPECIES
Pt 195.08 Pt.upf
Zr 91.22 Zr.upf
Sr 87.62 Sr.upf
ATOMIC_POSITIONS crystal
Pt 0.5000 0.5000 0.5000
Zr 0.0000 0.0000 0.5000
Zr 0.0000 0.5000 0.0000
Sr 0.0000 0.0000 0.0000
Zr 0.5000 0.0000 0.0000
CELL_PARAMETERS angstrom
-0.8916 4.8641 0.6859
-4.0131 -0.3192 -2.9527
-2.8329 -1.0787 3.9669
```

Computed properties:
Offset from the most stable computed form   1.749 eV/atom
Magnetization   0.000 μB per cell
Formation energy   1867 meV per atom

---

[12]
Here is a relaxed NdErLuMg crystal from the Alexandria database. Energies are from PBE. Values from VASP.

Cell and atoms, written as Quantum ESPRESSO input:
```
&SYSTEM
  ibrav = 0, nat = 4, ntyp = 4
/
ATOMIC_SPECIES
Er 167.26 Er.upf
Mg 24.30 Mg.upf
Lu 174.97 Lu.upf
Nd 144.24 Nd.upf
ATOMIC_POSITIONS crystal
Er 0.2500 0.2500 0.2500
Mg 0.0000 0.0000 0.0000
Lu 0.5000 0.5000 0.5000
Nd 0.7500 0.7500 0.7500
CELL_PARAMETERS angstrom
-0.2771 5.2332 -1.6810
-4.8742 2.2415 -1.2275
-2.1721 3.8370 3.2938
```

Computed properties:
Magnetization   0.001 μB per cell
Formation energy   23 meV per atom